Sc8Fe2Pt: optimized geometry, GGA-PBE.

a = 5.0499 Å, b = 6.9992 Å, c = 6.9992 Å
α = 110.86°, β = 98.64°, γ = 98.64°
Atoms (fractional coordinates):
Fe  0.4998  0.6877  0.3184
Fe  0.4998  0.3184  0.6877
Sc  0.1878  0.3721  0.3721
Sc  0.5906  0.3319  0.0671
Sc  0.0000  0.7722  0.2342
Sc  0.8120  0.6337  0.6337
Sc  0.0000  0.2342  0.7722
Sc  0.4094  0.6745  0.9391
Sc  0.5906  0.0671  0.3319
Sc  0.4094  0.9391  0.6745
Pt  0.0005  0.0029  0.0029

Final energy in eV/atom: -6.953
V in Å³ per atom: 20.27
Magnetization in μB per cell: 0.00
ΔH_f (0 K) in eV per atom: -0.260
Symmetry: C2/m (12)

ScFePt2: optimized geometry, GGA-PBE.

a = 3.4386 Å, b = 3.4386 Å, c = 5.5945 Å
α = 90.00°, β = 90.00°, γ = 90.00°
Atoms (fractional coordinates):
Fe  0.5000  0.5000  0.7889
Pt  0.5000  0.5000  0.2677
Pt  0.0000  0.0000  0.9625
Sc  0.0000  0.0000  0.4809

Final energy in eV/atom: -7.261
V in Å³ per atom: 16.54
Magnetization in μB per cell: 3.37
ΔH_f (0 K) in eV per atom: -0.542
Symmetry: P4mm (99)